DFT (PBE+U) results for a relaxed CdCoSeO crystal.

Cell: 5.924 6.765 7.448 Å, 90.00 90.00 90.00°
Element x y z (fractional)
O1 0.041 0.831 0.385
O2 0.959 0.331 0.115
Cd1 0.076 0.162 0.356
Co1 0.860 0.745 0.588
Se1 0.035 0.412 0.630
Se2 0.465 0.588 0.130
Co2 0.640 0.255 0.088
Cd2 0.424 0.838 0.856
Co3 0.140 0.245 0.912
O3 0.541 0.669 0.615
Cd3 0.576 0.338 0.644
Se3 0.535 0.088 0.370
Co4 0.360 0.755 0.412
O4 0.459 0.169 0.885
Cd4 0.924 0.662 0.144
Se4 0.965 0.912 0.870

The total moment is 0.75 μB/atom. Its crystal system is orthorhombic. Its polymorph energy (0 for the lowest one) is 0.0023 eV per atom.